{
  "formula": "Co2ReO",
  "functional": "PBE with a Hubbard U",
  "state": "relaxed",
  "cell": [[6.659, 0.000, 0.000], [0.000, 6.659, 0.000], [3.330, 3.330, 2.126]],
  "species": ["Re", "Re", "Co", "Co", "Co", "Co", "O", "O"],
  "fractional_positions": [[0.000, 0.000, 0.000], [0.750, 0.250, 0.500], [0.538, 0.125, 0.250], [0.212, 0.625, 0.250], [0.375, 0.462, 0.750], [0.875, 0.788, 0.750], [0.500, 0.500, 0.000], [0.250, 0.750, 0.500]],
  "sg": "No. 122",
  "m_tot_mub_per_fu": 3.73,
  "dft_energy_ev_per_atom": -6.381
}